Entry from the Alexandria database: a relaxed KY3Sb crystal (GGA-PBE).

Geometry as extended XYZ:
```
5
Lattice="-1.5749 -5.5777 -1.1317 5.4003 -1.0939 -2.1242 1.7968 -1.6014 5.3925" Properties=species:S:1:pos:R:3 pbc="T T T"
Y 0.8984 -0.8007 2.6962
Y -0.7875 -2.7888 -0.5658
Y 2.7001 -0.5469 -1.0621
Sb 0.0000 0.0000 0.0000
K 2.8110 -4.1365 1.0683
```

Summary:
* energy above the most stable polymorph in this dataset: 0.0000 eV per atom
* final energy: -24.0 eV/cell
* energy relative to the elements, uncorrected: 0.635 eV/f.u.